No. 1
A plane-wave DFT calculation with PBE was carried out for RbBe after structural relaxation. Values from VASP.

Calculated values
Total magnetic moment ... 0.00 Bohr magnetons per cell
Volume ... 34.40 Å³ per atom
Theoretical density ... 2.28 Mg/m³
ΔE_f ... 1024 meV/atom
Space group ... Fddd, No. 70
E above lowest polymorph ... 401.1 meV per atom

Cell and atoms, written as Quantum ESPRESSO input:
```
&SYSTEM
  ibrav = 0, nat = 32, ntyp = 2
/
ATOMIC_SPECIES
Rb 85.47 Rb.upf
Be 9.01 Be.upf
ATOMIC_POSITIONS crystal
Rb 0.327 0.000 0.000
Rb 0.673 0.000 0.000
Rb 0.923 0.750 0.250
Rb 0.577 0.750 0.250
Rb 0.327 0.500 0.500
Rb 0.673 0.500 0.500
Rb 0.923 0.250 0.750
Rb 0.577 0.250 0.750
Rb 0.827 0.000 0.500
Rb 0.173 0.000 0.500
Rb 0.423 0.750 0.750
Rb 0.077 0.750 0.750
Rb 0.827 0.500 0.000
Rb 0.173 0.500 0.000
Rb 0.423 0.250 0.250
Rb 0.077 0.250 0.250
Be 0.000 0.934 0.000
Be 0.000 0.066 0.000
Be 0.250 0.816 0.250
Be 0.250 0.684 0.250
Be 0.000 0.434 0.500
Be 0.000 0.566 0.500
Be 0.250 0.316 0.750
Be 0.250 0.184 0.750
Be 0.500 0.934 0.500
Be 0.500 0.066 0.500
Be 0.750 0.816 0.750
Be 0.750 0.684 0.750
Be 0.500 0.434 0.000
Be 0.500 0.566 0.000
Be 0.750 0.316 0.250
Be 0.750 0.184 0.250
CELL_PARAMETERS angstrom
10.238 0.000 0.000
0.000 16.036 0.000
0.000 0.000 6.705
```



No. 2
A plane-wave DFT calculation with PBE was carried out for RbBe after structural relaxation. Values from VASP.

Calculated values
Total magnetic moment ... 0.00 Bohr magnetons per cell
Volume ... 57.39 Å³ per atom
Theoretical density ... 1.37 Mg/m³
ΔE_f ... 1453 meV/atom
Space group ... P6_3/mmc, No. 194
E above lowest polymorph ... 829.9 meV per atom

Cell and atoms, written as Quantum ESPRESSO input:
```
&SYSTEM
  ibrav = 0, nat = 4, ntyp = 2
/
ATOMIC_SPECIES
Rb 85.47 Rb.upf
Be 9.01 Be.upf
ATOMIC_POSITIONS crystal
Rb 0.333 0.667 0.750
Rb 0.667 0.333 0.250
Be 0.333 0.667 0.250
Be 0.667 0.333 0.750
CELL_PARAMETERS angstrom
-0.098 -0.074 -6.120
-5.200 -0.694 3.153
-0.977 7.007 -0.069
```



No. 3
A plane-wave DFT calculation with PBE was carried out for RbBe2Re after structural relaxation. Values from VASP.

Calculated values
Total magnetic moment ... 3.97 Bohr magnetons per cell
Volume ... 24.43 Å³ per atom
Theoretical density ... 4.92 Mg/m³
ΔE_f ... 1349 meV/atom
Space group ... I4_1/amd, No. 141
E above lowest polymorph ... 0.0 meV per atom

Cell and atoms, written as Quantum ESPRESSO input:
```
&SYSTEM
  ibrav = 0, nat = 8, ntyp = 3
/
ATOMIC_SPECIES
Re 186.21 Re.upf
Rb 85.47 Rb.upf
Be 9.01 Be.upf
ATOMIC_POSITIONS crystal
Re 0.000 0.000 0.000
Re 0.750 0.250 0.500
Rb 0.500 0.500 0.000
Rb 0.250 0.750 0.500
Be 0.875 0.125 0.250
Be 0.875 0.625 0.250
Be 0.375 0.125 0.750
Be 0.875 0.125 0.750
CELL_PARAMETERS angstrom
-0.298 1.684 -4.740
-0.220 -4.748 -1.673
-7.936 -1.367 -2.666
```



No. 4
A plane-wave DFT calculation with PBE was carried out for Rb3BeRe after structural relaxation. Values from VASP.

Calculated values
Total magnetic moment ... 2.11 Bohr magnetons per cell
Volume ... 58.67 Å³ per atom
Theoretical density ... 2.56 Mg/m³
ΔE_f ... 1914 meV/atom
Space group ... Pm-3m, No. 221

Cell and atoms, written as Quantum ESPRESSO input:
```
&SYSTEM
  ibrav = 0, nat = 5, ntyp = 3
/
ATOMIC_SPECIES
Re 186.21 Re.upf
Rb 85.47 Rb.upf
Be 9.01 Be.upf
ATOMIC_POSITIONS crystal
Re 0.000 0.000 0.000
Rb 0.000 0.500 0.000
Rb 0.000 0.000 0.500
Rb 0.500 0.000 0.000
Be 0.500 0.500 0.500
CELL_PARAMETERS angstrom
6.645 0.000 0.000
0.000 6.645 0.000
0.000 0.000 6.645
```



No. 5
A plane-wave DFT calculation with PBE was carried out for RbBe3Re after structural relaxation. Values from VASP.

Calculated values
Total magnetic moment ... 0.00 Bohr magnetons per cell
Volume ... 19.41 Å³ per atom
Theoretical density ... 5.11 Mg/m³
ΔE_f ... 1055 meV/atom
Space group ... Pm-3m, No. 221
E above lowest polymorph ... 0.0 meV per atom

Cell and atoms, written as Quantum ESPRESSO input:
```
&SYSTEM
  ibrav = 0, nat = 5, ntyp = 3
/
ATOMIC_SPECIES
Re 186.21 Re.upf
Rb 85.47 Rb.upf
Be 9.01 Be.upf
ATOMIC_POSITIONS crystal
Re 0.000 0.000 0.000
Rb 0.500 0.500 0.500
Be 0.000 0.500 0.000
Be 0.000 0.000 0.500
Be 0.500 0.000 0.000
CELL_PARAMETERS angstrom
-4.458 0.964 -0.562
-1.022 -4.457 0.457
-0.449 0.568 4.538
```



No. 6
A plane-wave DFT calculation with PBE was carried out for RbBe2Re after structural relaxation. Values from VASP.

Calculated values
Total magnetic moment ... 1.70 Bohr magnetons per cell
Volume ... 17.46 Å³ per atom
Theoretical density ... 6.89 Mg/m³
ΔE_f ... 1807 meV/atom
Space group ... Fm-3m, No. 225
E above lowest polymorph ... 457.8 meV per atom

Cell and atoms, written as Quantum ESPRESSO input:
```
&SYSTEM
  ibrav = 0, nat = 4, ntyp = 3
/
ATOMIC_SPECIES
Re 186.21 Re.upf
Rb 85.47 Rb.upf
Be 9.01 Be.upf
ATOMIC_POSITIONS crystal
Re 0.500 0.500 0.500
Rb 0.000 0.000 0.000
Be 0.250 0.250 0.250
Be 0.750 0.750 0.750
CELL_PARAMETERS angstrom
0.000 3.268 3.268
3.268 0.000 3.268
3.268 3.268 0.000
```



No. 7
A plane-wave DFT calculation with PBE was carried out for RbBe3Re after structural relaxation. Values from VASP.

Calculated values
Total magnetic moment ... 0.00 Bohr magnetons per cell
Volume ... 16.15 Å³ per atom
Theoretical density ... 6.14 Mg/m³
ΔE_f ... 3132 meV/atom
Space group ... Pm-3m, No. 221
E above lowest polymorph ... 2076.6 meV per atom

Cell and atoms, written as Quantum ESPRESSO input:
```
&SYSTEM
  ibrav = 0, nat = 5, ntyp = 3
/
ATOMIC_SPECIES
Re 186.21 Re.upf
Rb 85.47 Rb.upf
Be 9.01 Be.upf
ATOMIC_POSITIONS crystal
Re 0.500 0.500 0.500
Rb 0.000 0.000 0.000
Be 0.000 0.500 0.000
Be 0.000 0.000 0.500
Be 0.500 0.000 0.000
CELL_PARAMETERS angstrom
4.322 0.000 0.000
0.000 4.322 0.000
0.000 0.000 4.322
```



No. 8
A plane-wave DFT calculation with PBE was carried out for Rb2BeReRh after structural relaxation. Values from VASP.

Calculated values
Total magnetic moment ... 2.86 Bohr magnetons per cell
Volume ... 40.50 Å³ per atom
Theoretical density ... 3.85 Mg/m³
ΔE_f ... 1635 meV/atom
Space group ... P4/mmm, No. 123

Cell and atoms, written as Quantum ESPRESSO input:
```
&SYSTEM
  ibrav = 0, nat = 5, ntyp = 4
/
ATOMIC_SPECIES
Re 186.21 Re.upf
Rh 102.91 Rh.upf
Rb 85.47 Rb.upf
Be 9.01 Be.upf
ATOMIC_POSITIONS crystal
Re 0.000 0.500 0.000
Rh 0.000 0.000 0.000
Rb 0.000 0.000 0.500
Rb 0.500 0.000 0.000
Be 0.500 0.500 0.500
CELL_PARAMETERS angstrom
6.579 0.000 0.000
0.000 4.678 0.000
0.000 0.000 6.579
```



No. 9
A plane-wave DFT calculation with PBE was carried out for RbTi2BeRe after structural relaxation. Values from VASP.

Calculated values
Total magnetic moment ... 1.27 Bohr magnetons per cell
Volume ... 19.61 Å³ per atom
Theoretical density ... 6.38 Mg/m³
ΔE_f ... 1250 meV/atom
Space group ... P4/mmm, No. 123

Cell and atoms, written as Quantum ESPRESSO input:
```
&SYSTEM
  ibrav = 0, nat = 5, ntyp = 4
/
ATOMIC_SPECIES
Re 186.21 Re.upf
Be 9.01 Be.upf
Rb 85.47 Rb.upf
Ti 47.87 Ti.upf
ATOMIC_POSITIONS crystal
Re 0.000 0.500 0.000
Be 0.000 0.000 0.000
Rb 0.500 0.500 0.500
Ti 0.000 0.000 0.500
Ti 0.500 0.000 0.000
CELL_PARAMETERS angstrom
4.779 0.000 0.000
0.000 4.291 0.000
0.000 0.000 4.779
```



No. 10
A plane-wave DFT calculation with PBE was carried out for RbYBe2Re after structural relaxation. Values from VASP.

Calculated values
Total magnetic moment ... 2.03 Bohr magnetons per cell
Volume ... 31.80 Å³ per atom
Theoretical density ... 3.95 Mg/m³
ΔE_f ... 1886 meV/atom
Space group ... P4/mmm, No. 123

Cell and atoms, written as Quantum ESPRESSO input:
```
&SYSTEM
  ibrav = 0, nat = 5, ntyp = 4
/
ATOMIC_SPECIES
Y 88.91 Y.upf
Re 186.21 Re.upf
Rb 85.47 Rb.upf
Be 9.01 Be.upf
ATOMIC_POSITIONS crystal
Y 0.000 0.000 0.000
Re 0.000 0.500 0.000
Rb 0.500 0.500 0.500
Be 0.000 0.000 0.500
Be 0.500 0.000 0.000
CELL_PARAMETERS angstrom
5.483 0.000 0.000
0.000 5.289 0.000
0.000 0.000 5.483
```



No. 11
A plane-wave DFT calculation with PBE was carried out for RbBe3Rh after structural relaxation. Values from VASP.

Calculated values
Total magnetic moment ... 0.00 Bohr magnetons per cell
Volume ... 18.27 Å³ per atom
Theoretical density ... 3.92 Mg/m³
ΔE_f ... 382 meV/atom
Space group ... Pm-3m, No. 221
E above lowest polymorph ... 0.0 meV per atom

Cell and atoms, written as Quantum ESPRESSO input:
```
&SYSTEM
  ibrav = 0, nat = 5, ntyp = 3
/
ATOMIC_SPECIES
Be 9.01 Be.upf
Rh 102.91 Rh.upf
Rb 85.47 Rb.upf
ATOMIC_POSITIONS crystal
Be 0.000 0.500 0.000
Be 0.000 0.000 0.500
Be 0.500 0.000 0.000
Rh 0.000 0.000 0.000
Rb 0.500 0.500 0.500
CELL_PARAMETERS angstrom
4.504 0.000 0.000
0.000 4.504 0.000
0.000 0.000 4.504
```



No. 12
A plane-wave DFT calculation with PBE was carried out for RbBe3Rh after structural relaxation. Values from VASP.

Calculated values
Total magnetic moment ... 0.00 Bohr magnetons per cell
Volume ... 18.70 Å³ per atom
Theoretical density ... 3.83 Mg/m³
ΔE_f ... 2783 meV/atom
Space group ... Pm-3m, No. 221
E above lowest polymorph ... 2401.1 meV per atom

Cell and atoms, written as Quantum ESPRESSO input:
```
&SYSTEM
  ibrav = 0, nat = 5, ntyp = 3
/
ATOMIC_SPECIES
Be 9.01 Be.upf
Rh 102.91 Rh.upf
Rb 85.47 Rb.upf
ATOMIC_POSITIONS crystal
Be 0.000 0.500 0.000
Be 0.000 0.000 0.500
Be 0.500 0.000 0.000
Rh 0.500 0.500 0.500
Rb 0.000 0.000 0.000
CELL_PARAMETERS angstrom
4.539 0.000 0.000
0.000 4.539 0.000
0.000 0.000 4.539
```